Here is crystalline Pm2C2S at its relaxed geometry from OQMD via LeMat-Bulk. Energies are from GGA-PBE.

Cell lengths 7.382, 7.382, 6.918 Å; angles 104.28, 104.28, 31.25 degrees
Atoms (fractional coordinates):
C  0.059  0.379  0.035
C  0.621  0.941  0.465
C  0.379  0.059  0.535
C  0.941  0.621  0.965
Pm  0.417  0.848  0.154
Pm  0.152  0.583  0.346
Pm  0.848  0.417  0.654
Pm  0.583  0.152  0.846
S  0.781  0.219  0.250
S  0.219  0.781  0.750

**Total DFT energy (no corrections)**: -73.50 eV per cell
**Space-group type**: C2/c



Here is crystalline Pm2CS at its relaxed geometry from OQMD via LeMat-Bulk. Energies are from GGA-PBE.

Cell lengths 3.810, 5.555, 7.995 Å; angles 90.00, 90.00, 90.00 degrees
Atoms (fractional coordinates):
C  0.000  0.500  0.376
C  0.500  0.000  0.624
Pm  0.500  0.500  0.161
Pm  0.000  0.000  0.399
Pm  0.500  0.500  0.601
Pm  0.000  0.000  0.839
S  0.500  0.000  0.122
S  0.000  0.500  0.878

**Total DFT energy (no corrections)**: -54.62 eV per cell
**Space-group type**: Pmmn



Here is crystalline PmSc2C3 at its relaxed geometry from OQMD via LeMat-Bulk. Energies are from GGA-PBE.

Cell lengths 5.541, 5.541, 3.265 Å; angles 90.00, 90.00, 120.00 degrees
Atoms (fractional coordinates):
C  0.500  0.000  0.500
C  0.000  0.500  0.500
C  0.500  0.500  0.500
Pm  0.000  0.000  0.000
Sc  0.667  0.333  0.000
Sc  0.333  0.667  0.000

**Total DFT energy (no corrections)**: -42.17 eV per cell
**Space-group type**: P6/mmm



Here is crystalline PmSm2C3 at its relaxed geometry from OQMD via LeMat-Bulk. Energies are from GGA-PBE.

Cell lengths 3.715, 3.715, 9.100 Å; angles 90.00, 90.00, 120.00 degrees
Atoms (fractional coordinates):
C  0.000  0.000  0.000
C  0.333  0.667  0.332
C  0.667  0.333  0.668
Pm  0.000  0.000  0.500
Sm  0.667  0.333  0.166
Sm  0.333  0.667  0.834

**Total DFT energy (no corrections)**: -40.50 eV per cell
**Space-group type**: P-3m1



Here is crystalline PmSn4C3 at its relaxed geometry from OQMD via LeMat-Bulk. Energies are from GGA-PBE.

Cell lengths 6.505, 6.505, 6.505 Å; angles 126.97, 126.97, 78.29 degrees
Atoms (fractional coordinates):
C  0.500  0.500  0.000
C  0.750  0.250  0.500
C  0.250  0.750  0.500
Pm  0.000  0.000  0.000
Sn  0.294  0.294  0.000
Sn  0.706  0.706  0.000
Sn  0.500  0.000  0.500
Sn  0.000  0.500  0.500

**Total DFT energy (no corrections)**: -36.45 eV per cell
**Space-group type**: I4/mmm



Here is crystalline Pm2Tc2C3 at its relaxed geometry from OQMD via LeMat-Bulk. Energies are from GGA-PBE.

Cell lengths 6.217, 6.217, 5.825 Å; angles 114.99, 114.99, 31.80 degrees
Atoms (fractional coordinates):
C  0.000  0.000  0.000
C  0.750  0.750  0.276
C  0.250  0.250  0.724
Pm  0.393  0.393  0.185
Pm  0.607  0.607  0.815
Tc  0.161  0.161  0.319
Tc  0.839  0.839  0.681

**Total DFT energy (no corrections)**: -59.63 eV per cell
**Space-group type**: C2/m



Here is crystalline Pm2TeC2 at its relaxed geometry from OQMD via LeMat-Bulk. Energies are from GGA-PBE.

Cell lengths 7.573, 7.573, 7.219 Å; angles 101.14, 101.14, 32.71 degrees
Atoms (fractional coordinates):
C  0.360  0.102  0.035
C  0.898  0.640  0.465
C  0.102  0.360  0.535
C  0.640  0.898  0.965
Pm  0.836  0.466  0.140
Pm  0.534  0.164  0.360
Pm  0.466  0.836  0.640
Pm  0.164  0.534  0.860
Te  0.200  0.800  0.250
Te  0.800  0.200  0.750

**Total DFT energy (no corrections)**: -69.40 eV per cell
**Space-group type**: C2/c



Here is crystalline Pm6Te5C at its relaxed geometry from OQMD via LeMat-Bulk. Energies are from GGA-PBE.

Cell lengths 7.583, 7.583, 7.498 Å; angles 99.59, 99.59, 119.57 degrees
Atoms (fractional coordinates):
C  0.000  0.000  0.000
Pm  0.353  0.070  0.213
Pm  0.070  0.353  0.213
Pm  0.793  0.793  0.227
Pm  0.207  0.207  0.773
Pm  0.930  0.647  0.787
Pm  0.647  0.930  0.787
Te  0.664  0.336  0.000
Te  0.336  0.664  0.000
Te  0.820  0.180  0.500
Te  0.500  0.500  0.500
Te  0.180  0.820  0.500

**Total DFT energy (no corrections)**: -68.25 eV per cell
**Space-group type**: C2/m



Here is crystalline PmWC at its relaxed geometry from OQMD via LeMat-Bulk. Energies are from GGA-PBE.

Cell lengths 4.073, 4.073, 6.340 Å; angles 90.00, 90.00, 90.00 degrees
Atoms (fractional coordinates):
C  0.500  0.500  0.000
C  0.000  0.000  0.000
Pm  0.500  0.000  0.375
Pm  0.000  0.500  0.625
W  0.000  0.500  0.098
W  0.500  0.000  0.902

**Total DFT energy (no corrections)**: -51.40 eV per cell
**Space-group type**: P4/nmm



Here is crystalline PmZr2C3 at its relaxed geometry from OQMD via LeMat-Bulk. Energies are from GGA-PBE.

Cell lengths 3.432, 3.432, 8.583 Å; angles 90.00, 90.00, 120.00 degrees
Atoms (fractional coordinates):
C  0.000  0.000  0.000
C  0.333  0.667  0.307
C  0.667  0.333  0.693
Pm  0.000  0.000  0.500
Zr  0.667  0.333  0.158
Zr  0.333  0.667  0.842

**Total DFT energy (no corrections)**: -52.05 eV per cell
**Space-group type**: P-3m1



Here is crystalline PrC2 at its relaxed geometry from OQMD via LeMat-Bulk. Energies are from GGA-PBE.

Cell lengths 3.868, 3.868, 4.250 Å; angles 117.07, 117.07, 90.00 degrees
Atoms (fractional coordinates):
C  0.600  0.600  0.199
C  0.400  0.400  0.801
Pr  0.000  0.000  0.000

**Polymorph energy (0 for the lowest one)**: 0 meV/atom
**Space-group type**: I4/mmm



Here is crystalline PrC2 at its relaxed geometry from OQMD via LeMat-Bulk. Energies are from GGA-PBE.

Cell lengths 4.810, 4.810, 4.810 Å; angles 60.00, 60.00, 60.00 degrees
Atoms (fractional coordinates):
C  0.625  0.625  0.125
C  0.625  0.125  0.625
C  0.125  0.625  0.625
C  0.625  0.625  0.625
Pr  0.000  0.000  0.000
Pr  0.250  0.250  0.250

**Polymorph energy (0 for the lowest one)**: 2067 meV/atom
**Space-group type**: Fd-3m



Here is crystalline PrC8 at its relaxed geometry from OQMD via LeMat-Bulk. Energies are from GGA-PBE.

Cell lengths 5.001, 5.001, 4.634 Å; angles 90.00, 90.00, 120.00 degrees
Atoms (fractional coordinates):
C  0.335  0.168  0.000
C  0.832  0.168  0.000
C  0.667  0.333  0.000
C  0.168  0.335  0.000
C  0.832  0.665  0.000
C  0.333  0.667  0.000
C  0.168  0.832  0.000
C  0.665  0.832  0.000
Pr  0.000  0.000  0.500

**Total DFT energy (no corrections)**: -78.43 eV per cell
**Space-group type**: P6/mmm



Here is crystalline Pr2C3 at its relaxed geometry from OQMD via LeMat-Bulk. Energies are from GGA-PBE.

Cell lengths 7.512, 7.512, 7.512 Å; angles 109.47, 109.47, 109.47 degrees
Atoms (fractional coordinates):
C  0.250  0.298  0.048
C  0.250  0.452  0.202
C  0.048  0.798  0.250
C  0.202  0.952  0.250
C  0.750  0.048  0.298
C  0.750  0.202  0.452
C  0.798  0.750  0.548
C  0.952  0.750  0.702
C  0.298  0.548  0.750
C  0.452  0.702  0.750
C  0.548  0.250  0.798
C  0.702  0.250  0.952
Pr  0.397  0.000  0.000
Pr  0.897  0.000  0.000
Pr  0.603  0.603  0.103
Pr  0.000  0.500  0.397
Pr  0.500  0.397  0.500
Pr  0.500  0.897  0.500
Pr  0.103  0.103  0.603
Pr  0.000  0.500  0.897

**Total DFT energy (no corrections)**: -151.75 eV per cell
**Space-group type**: I-43d



Here is crystalline PrC2 at its relaxed geometry from OQMD via LeMat-Bulk. Energies are from GGA-PBE.

Cell lengths 7.645, 7.645, 7.645 Å; angles 60.00, 60.00, 60.00 degrees
Site moments in Bohr magnetons follow the coordinates.
Atoms (fractional coordinates):
C  0.875  0.375  0.375  0.63
C  0.375  0.875  0.375  0.52
C  0.375  0.375  0.375  0.51
C  0.375  0.375  0.875  0.46
Pr  0.250  0.250  0.250  0.02
Pr  0.500  0.500  0.500  0.02

**Polymorph energy (0 for the lowest one)**: 3253 meV/atom
**Space-group type**: Fd-3m



Here is crystalline Pr3PuC4 at its relaxed geometry from OQMD via LeMat-Bulk. Energies are from GGA-PBE.

Cell lengths 8.939, 8.939, 4.079 Å; angles 97.53, 97.53, 27.19 degrees
Site moments in Bohr magnetons follow the coordinates.
Atoms (fractional coordinates):
C  0.328  0.328  0.311  0.03
C  0.602  0.602  0.498  -0.04
C  0.398  0.398  0.502  -0.04
C  0.672  0.672  0.689  0.03
Pr  0.180  0.180  0.201  -0.03
Pr  0.000  0.000  0.500  0.22
Pr  0.820  0.820  0.799  -0.03
Pu  0.500  0.500  0.000  5.22

**Total DFT energy (no corrections)**: -64.81 eV per cell
**Space-group type**: C2/m



Here is crystalline PrReC2 at its relaxed geometry from OQMD via LeMat-Bulk. Energies are from GGA-PBE.

Cell lengths 3.940, 3.940, 7.888 Å; angles 97.52, 97.52, 89.34 degrees
Atoms (fractional coordinates):
C  0.606  0.447  0.066
C  0.862  0.480  0.220
C  0.447  0.606  0.566
C  0.480  0.862  0.720
Pr  0.060  0.923  0.011
Pr  0.923  0.060  0.511
Re  0.381  0.508  0.306
Re  0.508  0.381  0.806

**Total DFT energy (no corrections)**: -70.38 eV per cell
**Space-group type**: Cc



Here is crystalline Pr2Re3C5 at its relaxed geometry from OQMD via LeMat-Bulk. Energies are from GGA-PBE.

Cell lengths 5.708, 5.708, 7.735 Å; angles 121.37, 121.37, 40.74 degrees
Atoms (fractional coordinates):
C  0.707  0.293  0.000
C  0.046  0.640  0.185
C  0.623  0.462  0.444
C  0.538  0.377  0.556
C  0.360  0.954  0.815
Pr  0.359  0.951  0.264
Pr  0.049  0.641  0.736
Re  0.578  0.156  0.098
Re  0.062  0.938  0.500
Re  0.844  0.422  0.902

**Total DFT energy (no corrections)**: -90.59 eV per cell
**Space-group type**: C2



Here is crystalline Pr2ReC2 at its relaxed geometry from OQMD via LeMat-Bulk. Energies are from GGA-PBE.

Cell lengths 6.732, 5.402, 10.275 Å; angles 90.00, 90.00, 90.00 degrees
Atoms (fractional coordinates):
C  0.812  0.750  0.036
C  0.532  0.250  0.242
C  0.032  0.250  0.258
C  0.312  0.750  0.464
C  0.688  0.250  0.536
C  0.968  0.750  0.742
C  0.468  0.750  0.758
C  0.188  0.250  0.964
Pr  0.810  0.250  0.050
Pr  0.524  0.750  0.214
Pr  0.024  0.750  0.286
Pr  0.310  0.250  0.450
Pr  0.690  0.750  0.550
Pr  0.976  0.250  0.714
Pr  0.476  0.250  0.786
Pr  0.190  0.750  0.950
Re  0.268  0.250  0.143
Re  0.768  0.250  0.357
Re  0.232  0.750  0.643
Re  0.732  0.750  0.857

**Total DFT energy (no corrections)**: -166.07 eV per cell
**Space-group type**: Pnma



Here is crystalline Pr12Re5C15 at its relaxed geometry from OQMD via LeMat-Bulk. Energies are from GGA-PBE.

Cell lengths 11.078, 11.078, 5.390 Å; angles 90.00, 90.00, 120.00 degrees
Atoms (fractional coordinates):
C  0.327  0.000  0.000
C  0.450  0.000  0.000
C  0.794  0.000  0.000
C  0.206  0.206  0.000
C  0.000  0.327  0.000
C  0.000  0.450  0.000
C  0.550  0.550  0.000
C  0.673  0.673  0.000
C  0.000  0.794  0.000
C  0.713  0.189  0.500
C  0.475  0.287  0.500
C  0.287  0.475  0.500
C  0.811  0.525  0.500
C  0.189  0.713  0.500
C  0.525  0.811  0.500
Pr  0.729  0.187  0.000
Pr  0.458  0.271  0.000
Pr  0.271  0.458  0.000
Pr  0.813  0.542  0.000
Pr  0.187  0.729  0.000
Pr  0.542  0.813  0.000
Pr  0.422  0.000  0.500
Pr  0.795  0.000  0.500
Pr  0.205  0.205  0.500
Pr  0.000  0.422  0.500
Pr  0.578  0.578  0.500
Pr  0.000  0.795  0.500
Re  0.152  0.000  0.000
Re  0.000  0.152  0.000
Re  0.848  0.848  0.000
Re  0.667  0.333  0.500
Re  0.333  0.667  0.500

**Total DFT energy (no corrections)**: -264.72 eV per cell
**Space-group type**: P-62m